Entry 1:
VASP calculation (PBE) on an optimized crystal structure of LiCa2Si2Pt5.

## Properties
Theoretical density   10.84 Mg/m³
Uncorrected formation energy   -0.79 eV per atom
DFT total energy   -5.488 eV per atom

Unit cell a=10.2345 b=10.2345 c=3.2717 alpha=90.00 beta=90.00 gamma=90.00
Closest atoms and distances in Å follow each position.
Space group P4/mbm (No. 127)
One atom of each set of equivalent atoms:
Li  0.0000  0.0000  0.0000 x2  8 Pt 2.75
Ca  0.1738  0.3262  0.0000 x4  3 Si 2.84-3.14, 10 Pt 3.00-3.17
Si  0.1299  0.6299  0.0000 x4  6 Pt 2.44-2.49
Pt  0.0000  0.5000  0.5000 x2  4 Si 2.49
Pt  0.0630  0.7938  0.5000 x8  2 Si 2.44


Entry 2:
VASP calculation (PBE) on an optimized crystal structure of LiCaSi2Pt5.

## Properties
Theoretical density   10.73 Mg/m³
Uncorrected formation energy   -0.67 eV per atom
DFT total energy   -5.665 eV per atom

Unit cell a=4.0372 b=4.0372 c=10.2379 alpha=90.00 beta=90.00 gamma=90.00
Closest atoms and distances in Å follow each position.
Space group P4/mmm (No. 123)
One atom of each set of equivalent atoms:
Li  0.0000  0.0000  0.0000 x1  8 Pt 2.54
Ca  0.0000  0.0000  0.5000 x1  4 Pt 2.85
Si  0.5000  0.5000  0.2710 x2  5 Pt 2.34-2.36
Pt  0.0000  0.5000  0.1509 x4  2 Si 2.36, 2 Li 2.54
Pt  0.5000  0.5000  0.5000 x1  2 Si 2.34


Entry 3:
VASP calculation (PBE) on an optimized crystal structure of LiCaSi2Pt2.

## Properties
Theoretical density   7.84 Mg/m³
Uncorrected formation energy   -0.88 eV per atom
DFT total energy   -5.357 eV per atom

Unit cell a=4.2074 b=4.2074 c=6.8197 alpha=90.00 beta=90.00 gamma=120.00
Closest atoms and distances in Å follow each position.
Space group P-3m1 (No. 164)
One atom of each set of equivalent atoms:
Li  0.0000  0.0000  0.0000 x1  6 Si 2.74, 6 Pt 2.75
Ca  0.0000  0.0000  0.5000 x1  6 Pt 3.23, 6 Si 3.24, 2 Li 3.41
Si  0.3333  0.6667  0.8141 x2  4 Pt 2.43-2.55
Pt  0.3333  0.6667  0.1880 x2  4 Si 2.43-2.55


Entry 4:
VASP calculation (PBE) on an optimized crystal structure of LiCaSi2Pt.

## Properties
Theoretical density   5.70 Mg/m³
Uncorrected formation energy   -0.70 eV per atom
DFT total energy   -4.860 eV per atom

Unit cell a=4.1476 b=4.1476 c=10.1003 alpha=90.00 beta=90.00 gamma=90.00
Closest atoms and distances in Å follow each position.
Space group I-4m2 (No. 119)
One atom of each set of equivalent atoms:
Li  0.0000  0.0000  0.0000 x2  4 Si 2.47
Ca  0.0000  0.5000  0.7500 x2  8 Si 3.16, 4 Pt 3.27, 4 Li 3.27
Si  0.0000  0.5000  0.1335 x4  1 Si 2.35, 2 Li 2.47, 2 Pt 2.47
Pt  0.0000  0.0000  0.5000 x2  4 Si 2.47


Entry 5:
VASP calculation (PBE) on an optimized crystal structure of Li2CaSiPt.

## Properties
Theoretical density   4.41 Mg/m³
Uncorrected formation energy   -0.42 eV per atom
DFT total energy   -3.882 eV per atom

Unit cell a=4.7716 b=4.7716 c=4.5878 alpha=90.00 beta=90.00 gamma=90.00
Closest atoms and distances in Å follow each position.
Space group P4/mmm (No. 123)
One atom of each set of equivalent atoms:
Li  0.0000  0.5000  0.0000 x2  2 Pt 2.39
Ca  0.0000  0.0000  0.5000 x1  8 Li 3.31, 4 Si 3.37
Si  0.5000  0.5000  0.5000 x1  2 Pt 2.29
Pt  0.5000  0.5000  0.0000 x1  2 Si 2.29, 4 Li 2.39


Entry 6:
VASP calculation (PBE) on an optimized crystal structure of Li2CaSmPt2.

## Properties
ΔE_f   -0.727 eV/atom
Theoretical density   8.04 Mg/m³
DFT total energy   -4.498 eV per atom

Unit cell a=4.3454 b=4.3454 c=7.5118 alpha=90.00 beta=90.00 gamma=120.00
Closest atoms and distances in Å follow each position.
Space group P-3m1 (No. 164)
One atom of each set of equivalent atoms:
Li  0.3333  0.6667  0.2358 x2  3 Pt 2.52
Ca  0.0000  0.0000  0.0000 x1  6 Li 3.07, 6 Pt 3.20
Sm  0.0000  0.0000  0.5000 x1  6 Pt 3.07, 6 Li 3.20
Pt  0.3333  0.6667  0.7352 x2  3 Li 2.52